Record 1
Density functional theory data (GGA-PBE) for a geometry-optimized LiAg2Os structure.

## Properties
SG: Imm2 (44)
ΔE_f: 0.419 eV per atom

```
LiAg2Os
1.0
-1.3366 2.4370 4.8595
1.3366 -2.4370 4.8595
1.3366 2.4370 -4.8595
Li Ag Os
1 2 1
direct
0.0000 0.0000 0.0000
0.4988 0.4988 0.0000
0.7589 0.2589 0.5000
0.2441 0.7441 0.5000
```

---

Record 2
Density functional theory data (GGA-PBE) for a geometry-optimized AlRu2O structure.

## Properties
SG: Fm-3m (225)

```
AlRu2O
1.0
0.0000 2.9266 2.9266
2.9266 0.0000 2.9266
2.9266 2.9266 0.0000
Al Ru O
1 2 1
direct
0.0000 0.0000 0.0000
0.2500 0.2500 0.2500
0.7500 0.7500 0.7500
0.5000 0.5000 0.5000
```

---

Number 1: distance to the lowest polymorph of the same formula 139 meV/atom. Number 2: distance to the lowest polymorph of the same formula 393 meV/atom.